Entry 1:
5
Lattice="3.864 0.000 0.000 0.000 3.864 0.000 0.000 0.000 4.877" Properties=species:S:1:pos:R:3 comment="YGeSN2 GGA-PBE relaxed" raw_formation_energy_ev_per_atom=-0.038 space_group=P4/mmm pbc="T T T"
Y 0.000 0.000 0.000
Ge 1.932 1.932 2.438
S 1.932 1.932 0.000
N 0.000 1.932 2.438
N 1.932 0.000 2.438

***

Entry 2:
5
Lattice="4.415 0.000 0.000 0.000 4.415 0.000 0.000 0.000 5.412" Properties=species:S:1:pos:R:3 comment="YGeSN2 GGA-PBE relaxed" raw_formation_energy_ev_per_atom=0.739 space_group=P4/mmm pbc="T T T"
Y 0.000 0.000 0.000
Ge 2.208 2.208 2.706
S 0.000 0.000 2.706
N 0.000 2.208 0.000
N 2.208 0.000 0.000

***

Entry 3:
5
Lattice="3.613 0.000 0.000 0.000 3.613 0.000 0.000 0.000 6.076" Properties=species:S:1:pos:R:3 comment="ZnGeSN2 GGA-PBE relaxed" raw_formation_energy_ev_per_atom=0.979 space_group=P4/mmm pbc="T T T"
Zn 0.000 0.000 0.000
Ge 1.807 1.807 3.038
S 1.807 1.807 0.000
N 0.000 1.807 3.038
N 1.807 0.000 3.038

***

Entry 4:
5
Lattice="3.901 0.000 0.000 0.000 3.901 0.000 0.000 0.000 5.294" Properties=species:S:1:pos:R:3 comment="ZnGeSN2 GGA-PBE relaxed" raw_formation_energy_ev_per_atom=1.382 space_group=P4/mmm pbc="T T T"
Zn 0.000 0.000 0.000
Ge 1.950 1.950 2.647
S 0.000 0.000 2.647
N 0.000 1.950 0.000
N 1.950 0.000 0.000

***

Entry 5:
5
Lattice="4.133 0.000 0.000 0.000 4.133 0.000 0.000 0.000 5.331" Properties=species:S:1:pos:R:3 comment="ZrGeSN2 GGA-PBE relaxed" raw_formation_energy_ev_per_atom=0.312 space_group=P4/mmm pbc="T T T"
Zr 0.000 0.000 0.000
Ge 2.067 2.067 2.666
S 0.000 0.000 2.666
N 0.000 2.067 0.000
N 2.067 0.000 0.000

***

Entry 6:
5
Lattice="3.808 0.000 0.000 0.000 3.808 0.000 0.000 0.000 4.673" Properties=species:S:1:pos:R:3 comment="ZrGeSN2 GGA-PBE relaxed" raw_formation_energy_ev_per_atom=0.346 space_group=P4/mmm pbc="T T T"
Zr 0.000 0.000 0.000
Ge 1.904 1.904 2.337
S 1.904 1.904 0.000
N 0.000 1.904 2.337
N 1.904 0.000 2.337

***

Entry 7:
16
Lattice="5.460 0.000 0.000 0.000 5.460 0.000 0.000 0.000 12.910" Properties=species:S:1:pos:R:3 comment="GeSb2N GGA-PBE relaxed" raw_formation_energy_ev_per_atom=0.587 space_group=I-42d pbc="T T T"
Ge 0.000 0.000 0.000
Ge 0.000 2.730 3.227
Ge 2.730 0.000 9.682
Ge 2.730 2.730 6.455
Sb 0.903 1.365 8.069
Sb 1.365 3.633 11.296
Sb 1.365 4.557 4.841
Sb 1.827 1.365 1.614
Sb 3.633 4.095 1.614
Sb 4.095 0.903 4.841
Sb 4.095 1.827 11.296
Sb 4.557 4.095 8.069
N 0.000 0.000 6.455
N 0.000 2.730 9.682
N 2.730 0.000 3.227
N 2.730 2.730 0.000

***

Entry 8:
10
Lattice="3.592 0.000 0.000 0.000 3.592 0.000 0.000 0.000 13.079" Properties=species:S:1:pos:R:3 comment="Ge2SbN2 GGA-PBE relaxed" raw_formation_energy_ev_per_atom=0.672 space_group=I4/mmm pbc="T T T"
Ge 0.000 0.000 2.373
Ge 0.000 0.000 10.707
Ge 1.796 1.796 4.167
Ge 1.796 1.796 8.912
Sb 0.000 0.000 6.540
Sb 1.796 1.796 0.000
N 0.000 1.796 3.270
N 0.000 1.796 9.809
N 1.796 0.000 3.270
N 1.796 0.000 9.809

***

Entry 9:
16
Lattice="6.175 0.000 0.000 0.000 6.175 0.000 0.000 0.000 8.118" Properties=species:S:1:pos:R:3 comment="Ge2SbN GGA-PBE relaxed" raw_formation_energy_ev_per_atom=0.468 space_group=I-42d pbc="T T T"
Ge 0.949 1.544 1.015
Ge 1.544 4.036 3.044
Ge 1.544 5.226 7.104
Ge 2.139 1.544 5.074
Ge 4.036 4.631 5.074
Ge 4.631 0.949 7.104
Ge 4.631 2.139 3.044
Ge 5.226 4.631 1.015
Sb 0.000 0.000 4.059
Sb 0.000 3.088 6.089
Sb 3.088 0.000 2.030
Sb 3.088 3.088 0.000
N 0.000 0.000 0.000
N 0.000 3.088 2.030
N 3.088 0.000 6.089
N 3.088 3.088 4.059

***

Entry 10:
12
Lattice="4.423 0.000 0.000 -2.212 3.831 0.000 0.000 0.000 18.677" Properties=species:S:1:pos:R:3 comment="Ge2SbN GGA-PBE relaxed" raw_formation_energy_ev_per_atom=0.430 space_group=R-3m pbc="T T T"
Ge 0.000 0.000 1.744
Ge 0.000 0.000 16.934
Ge 0.000 2.554 10.708
Ge 0.000 2.554 14.195
Ge 2.212 1.277 4.482
Ge 2.212 1.277 7.969
Sb 0.000 0.000 9.339
Sb 0.000 2.554 3.113
Sb 2.212 1.277 15.564
N 0.000 0.000 0.000
N 0.000 2.554 12.452
N 2.212 1.277 6.226

***

Entry 11:
5
Lattice="4.781 0.000 0.000 0.000 4.781 0.000 0.000 0.000 4.781" Properties=species:S:1:pos:R:3 comment="GeSb3N GGA-PBE relaxed" raw_formation_energy_ev_per_atom=0.625 space_group=Pm-3m pbc="T T T"
Ge 0.000 0.000 0.000
Sb 0.000 2.390 2.390
Sb 2.390 0.000 2.390
Sb 2.390 2.390 0.000
N 2.390 2.390 2.390

***

Entry 12:
16
Lattice="6.748 0.000 0.000 0.000 6.748 0.000 0.000 0.000 6.748" Properties=species:S:1:pos:R:3 comment="GeSb2N GGA-PBE relaxed" raw_formation_energy_ev_per_atom=1.091 space_group=Fm-3m pbc="T T T"
Ge 0.000 0.000 0.000
Ge 0.000 3.374 3.374
Ge 3.374 0.000 3.374
Ge 3.374 3.374 0.000
Sb 1.687 1.687 1.687
Sb 1.687 1.687 5.061
Sb 1.687 5.061 1.687
Sb 1.687 5.061 5.061
Sb 5.061 1.687 1.687
Sb 5.061 1.687 5.061
Sb 5.061 5.061 1.687
Sb 5.061 5.061 5.061
N 0.000 0.000 3.374
N 0.000 3.374 0.000
N 3.374 0.000 0.000
N 3.374 3.374 3.374

***

Entry 13:
16
Lattice="6.614 0.000 0.000 0.000 6.614 0.000 0.000 0.000 6.614" Properties=species:S:1:pos:R:3 comment="Ge2SbN GGA-PBE relaxed" raw_formation_energy_ev_per_atom=1.187 space_group=Fm-3m pbc="T T T"
Ge 1.653 1.653 1.653
Ge 1.653 1.653 4.960
Ge 1.653 4.960 1.653
Ge 1.653 4.960 4.960
Ge 4.960 1.653 1.653
Ge 4.960 1.653 4.960
Ge 4.960 4.960 1.653
Ge 4.960 4.960 4.960
Sb 0.000 0.000 0.000
Sb 0.000 3.307 3.307
Sb 3.307 0.000 3.307
Sb 3.307 3.307 0.000
N 0.000 0.000 3.307
N 0.000 3.307 0.000
N 3.307 0.000 0.000
N 3.307 3.307 3.307

***

Entry 14:
5
Lattice="5.393 0.000 0.000 0.000 5.393 0.000 0.000 0.000 5.393" Properties=species:S:1:pos:R:3 comment="GeSb3N GGA-PBE relaxed" raw_formation_energy_ev_per_atom=1.644 space_group=Pm-3m pbc="T T T"
Ge 0.000 0.000 0.000
Sb 0.000 0.000 2.696
Sb 0.000 2.696 0.000
Sb 2.696 0.000 0.000
N 2.696 2.696 2.696

***

Entry 15:
5
Lattice="3.957 0.000 0.000 0.000 3.957 0.000 0.000 0.000 5.617" Properties=species:S:1:pos:R:3 comment="ScGeSbN2 GGA-PBE relaxed" raw_formation_energy_ev_per_atom=0.847 space_group=P4/mmm pbc="T T T"
Sc 0.000 0.000 0.000
Ge 1.979 1.979 2.809
Sb 1.979 1.979 0.000
N 0.000 1.979 2.809
N 1.979 0.000 2.809

***

Entry 16:
5
Lattice="3.946 0.000 0.000 0.000 3.946 0.000 0.000 0.000 5.137" Properties=species:S:1:pos:R:3 comment="GeSbSeN2 GGA-PBE relaxed" raw_formation_energy_ev_per_atom=1.085 space_group=P4/mmm pbc="T T T"
Ge 0.000 0.000 0.000
Sb 1.973 1.973 2.569
Se 0.000 0.000 2.569
N 0.000 1.973 0.000
N 1.973 0.000 0.000

***

Entry 17:
5
Lattice="4.040 0.000 0.000 0.000 4.040 0.000 0.000 0.000 5.558" Properties=species:S:1:pos:R:3 comment="GeSbSeN2 GGA-PBE relaxed" raw_formation_energy_ev_per_atom=1.135 space_group=P4/mmm pbc="T T T"
Ge 0.000 0.000 0.000
Sb 2.020 2.020 2.779
Se 2.020 2.020 0.000
N 0.000 2.020 2.779
N 2.020 0.000 2.779

***

Entry 18:
5
Lattice="5.381 0.000 0.000 0.000 5.381 0.000 0.000 0.000 4.259" Properties=species:S:1:pos:R:3 comment="Sr2GeSbN GGA-PBE relaxed" raw_formation_energy_ev_per_atom=-0.545 space_group=P4/mmm pbc="T T T"
Sr 0.000 2.691 0.000
Sr 2.691 0.000 0.000
Ge 0.000 0.000 2.130
Sb 2.691 2.691 2.130
N 0.000 0.000 0.000

***

Entry 19:
5
Lattice="4.758 0.000 0.000 0.000 4.758 0.000 0.000 0.000 4.879" Properties=species:S:1:pos:R:3 comment="GeSbTe2N GGA-PBE relaxed" raw_formation_energy_ev_per_atom=0.690 space_group=P4/mmm pbc="T T T"
Ge 0.000 0.000 0.000
Sb 2.379 2.379 0.000
Te 0.000 2.379 2.440
Te 2.379 0.000 2.440
N 2.379 2.379 2.440

***

Entry 20:
5
Lattice="5.296 0.000 0.000 0.000 5.296 0.000 0.000 0.000 5.378" Properties=species:S:1:pos:R:3 comment="GeSbTe2N GGA-PBE relaxed" raw_formation_energy_ev_per_atom=1.789 space_group=P4/mmm pbc="T T T"
Ge 0.000 0.000 0.000
Sb 0.000 0.000 2.689
Te 0.000 2.648 0.000
Te 2.648 0.000 0.000
N 2.648 2.648 2.689

***

Entry 21:
5
Lattice="5.853 0.000 0.000 0.000 5.853 0.000 0.000 0.000 3.943" Properties=species:S:1:pos:R:3 comment="GeSbTe2N GGA-PBE relaxed" raw_formation_energy_ev_per_atom=0.863 space_group=P4/mmm pbc="T T T"
Ge 0.000 0.000 0.000
Sb 2.927 2.927 1.971
Te 0.000 2.927 1.971
Te 2.927 0.000 1.971
N 2.927 2.927 0.000

***

Entry 22:
5
Lattice="5.684 0.000 0.000 0.000 5.684 0.000 0.000 0.000 3.643" Properties=species:S:1:pos:R:3 comment="GeSbTe2N GGA-PBE relaxed" raw_formation_energy_ev_per_atom=0.616 space_group=P4/mmm pbc="T T T"
Ge 0.000 0.000 0.000
Sb 2.842 2.842 1.822
Te 0.000 2.842 0.000
Te 2.842 0.000 0.000
N 0.000 0.000 1.822

***

Entry 23:
5
Lattice="3.986 0.000 0.000 0.000 3.986 0.000 0.000 0.000 5.386" Properties=species:S:1:pos:R:3 comment="ZrGeSbN2 GGA-PBE relaxed" raw_formation_energy_ev_per_atom=1.029 space_group=P4/mmm pbc="T T T"
Zr 0.000 0.000 0.000
Ge 1.993 1.993 2.693
Sb 1.993 1.993 0.000
N 0.000 1.993 2.693
N 1.993 0.000 2.693

***

Entry 24:
16
Lattice="6.325 0.000 0.000 0.000 6.325 0.000 0.000 0.000 7.140" Properties=species:S:1:pos:R:3 comment="Sc2GeN GGA-PBE relaxed" raw_formation_energy_ev_per_atom=-0.907 space_group=I-42d pbc="T T T"
Sc 1.042 1.581 0.892
Sc 1.581 4.205 2.677
Sc 1.581 5.283 6.247
Sc 2.120 1.581 4.462
Sc 4.205 4.744 4.462
Sc 4.744 1.042 6.247
Sc 4.744 2.120 2.677
Sc 5.283 4.744 0.892
Ge 0.000 0.000 3.570
Ge 0.000 3.162 5.355
Ge 3.162 0.000 1.785
Ge 3.162 3.162 0.000
N 0.000 0.000 0.000
N 0.000 3.162 1.785
N 3.162 0.000 5.355
N 3.162 3.162 3.570

***

Entry 25:
12
Lattice="3.248 0.000 0.000 -1.624 2.813 0.000 0.000 0.000 23.429" Properties=species:S:1:pos:R:3 comment="Sc2GeN GGA-PBE relaxed" raw_formation_energy_ev_per_atom=-0.861 space_group=R-3m pbc="T T T"
Sc 0.000 0.000 2.723
Sc 0.000 0.000 20.706
Sc 0.000 1.875 12.896
Sc 0.000 1.875 18.343
Sc 1.624 0.938 5.086
Sc 1.624 0.938 10.533
Ge 0.000 0.000 0.000
Ge 0.000 1.875 15.619
Ge 1.624 0.938 7.810
N 0.000 0.000 11.714
N 0.000 1.875 3.905
N 1.624 0.938 19.524

***

Entry 26:
10
Lattice="5.204 -2.182 0.000 5.204 2.182 0.000 -2.094 0.000 7.705" Properties=species:S:1:pos:R:3 comment="Sc3GeN GGA-PBE relaxed" raw_formation_energy_ev_per_atom=-1.063 space_group=C2/m pbc="T T T"
Sc 0.471 0.000 1.405
Sc 0.238 0.000 4.905
Sc 3.524 0.000 0.507
Sc 4.790 0.000 7.198
Sc 8.075 0.000 2.800
Sc 7.842 0.000 6.299
Ge 3.145 0.000 4.767
Ge 5.168 0.000 2.938
N -0.543 0.000 7.152
N 8.857 0.000 0.553

***

Entry 27:
16
Lattice="6.356 0.000 0.000 0.000 6.356 0.000 0.000 0.000 6.356" Properties=species:S:1:pos:R:3 comment="Sc2GeN GGA-PBE relaxed" raw_formation_energy_ev_per_atom=-0.116 space_group=Fm-3m pbc="T T T"
Sc 1.589 1.589 1.589
Sc 1.589 1.589 4.767
Sc 1.589 4.767 1.589
Sc 1.589 4.767 4.767
Sc 4.767 1.589 1.589
Sc 4.767 1.589 4.767
Sc 4.767 4.767 1.589
Sc 4.767 4.767 4.767
Ge 0.000 0.000 0.000
Ge 0.000 3.178 3.178
Ge 3.178 0.000 3.178
Ge 3.178 3.178 0.000
N 0.000 0.000 3.178
N 0.000 3.178 0.000
N 3.178 0.000 0.000
N 3.178 3.178 3.178

***

Entry 28:
12
Lattice="3.986 0.000 0.000 -1.993 3.452 0.000 0.000 0.000 21.137" Properties=species:S:1:pos:R:3 comment="Sc2GeN GGA-PBE relaxed" raw_formation_energy_ev_per_atom=-0.316 space_group=R-3m pbc="T T T"
Sc 0.000 0.000 1.864
Sc 0.000 0.000 19.272
Sc 0.000 2.301 12.227
Sc 0.000 2.301 15.955
Sc 1.993 1.151 5.181
Sc 1.993 1.151 8.910
Ge 0.000 0.000 10.568
Ge 0.000 2.301 3.523
Ge 1.993 1.151 17.614
N 0.000 0.000 0.000
N 0.000 2.301 14.091
N 1.993 1.151 7.046